The following is a PBEsol calculation of crystalline CaLa2Sc at its relaxed geometry, from the Alexandria database.

Cell lengths 3.6085, 3.6085, 9.9478 Å; angles 90.00, 90.00, 90.00 degrees
Atoms (fractional coordinates):
La 0.0000 0.0000 0.0219
La 0.5000 0.5000 0.2665
Ca 0.5000 0.5000 0.7287
Sc 0.0000 0.0000 0.4829

Symmetry: P4mm, No. 99
Total DFT energy (no corrections), eV/atom: -4.7561
Total moment, μB per formula unit: 0.0
Energy relative to the lowest polymorph listed for this composition, meV per atom: 31.3
E_form, eV per formula unit: 0.41